Record 1
Below is a relaxed Dy8CoTe2 crystal, with properties calculated at the PBE-GGA level.

Unit cell a=8.161 b=8.161 c=6.235 alpha=101.05 beta=101.05 gamma=55.05
Atoms (fractional coordinates):
Dy (0.153, 0.153, 0.864)
Dy (0.162, 0.679, 0.695)
Dy (0.321, 0.838, 0.305)
Dy (0.385, 0.385, 0.147)
Dy (0.615, 0.615, 0.853)
Dy (0.679, 0.162, 0.695)
Dy (0.838, 0.321, 0.305)
Dy (0.847, 0.847, 0.136)
Co (0.000, 0.000, 0.000)
Te (0.255, 0.255, 0.474)
Te (0.745, 0.745, 0.526)

Properties
- E_form (uncorrected) (eV per atom) = -0.368

Record 2
Below is a relaxed Dy5Co2Te crystal, with properties calculated at the PBE-GGA level.

Unit cell a=8.618 b=8.618 c=8.618 alpha=127.81 beta=127.81 gamma=76.93
Atoms (fractional coordinates):
Dy (0.000, 0.000, 0.000)
Dy (0.024, 0.524, 0.811)
Dy (0.212, 0.024, 0.500)
Dy (0.288, 0.788, 0.811)
Dy (0.476, 0.288, 0.500)
Dy (0.500, 0.500, 0.000)
Dy (0.524, 0.712, 0.500)
Dy (0.712, 0.212, 0.189)
Dy (0.788, 0.976, 0.500)
Dy (0.976, 0.476, 0.189)
Co (0.138, 0.362, 0.500)
Co (0.362, 0.862, 0.224)
Co (0.638, 0.138, 0.776)
Co (0.862, 0.638, 0.500)
Te (0.250, 0.250, 0.000)
Te (0.750, 0.750, 0.000)

Properties
- E_form (uncorrected) (eV per atom) = -0.464

Record 3
Below is a relaxed Dy6CoTe2 crystal, with properties calculated at the PBE-GGA level.

Unit cell a=8.367 b=8.367 c=3.906 alpha=90.00 beta=90.00 gamma=120.00
Atoms (fractional coordinates):
Dy (0.000, 0.400, 0.000)
Dy (0.000, 0.764, 0.500)
Dy (0.236, 0.236, 0.500)
Dy (0.400, 0.000, 0.000)
Dy (0.600, 0.600, 0.000)
Dy (0.764, 0.000, 0.500)
Co (0.000, 0.000, 0.000)
Te (0.333, 0.667, 0.500)
Te (0.667, 0.333, 0.500)

Properties
- E_form (uncorrected) (eV per atom) = -0.668

Record 4
Below is a relaxed Dy5CoTe4 crystal, with properties calculated at the PBE-GGA level.

Unit cell a=7.471 b=7.471 c=7.471 alpha=99.60 beta=99.60 gamma=131.81
Atoms (fractional coordinates):
Dy (0.000, 0.000, 0.000)
Dy (0.248, 0.409, 0.658)
Dy (0.409, 0.752, 0.161)
Dy (0.591, 0.248, 0.839)
Dy (0.752, 0.591, 0.342)
Co (0.500, 0.500, 0.000)
Te (0.088, 0.690, 0.777)
Te (0.310, 0.088, 0.398)
Te (0.690, 0.912, 0.602)
Te (0.912, 0.310, 0.223)

Properties
- E_form (uncorrected) (eV per atom) = -1.070

Record 5
Below is a relaxed DyTh2Co crystal, with properties calculated at the PBE-GGA level.

Unit cell a=6.999 b=9.856 c=6.174 alpha=90.00 beta=90.00 gamma=90.00
Atoms (fractional coordinates):
Dy (0.044, 0.250, 0.159)
Dy (0.456, 0.750, 0.659)
Dy (0.544, 0.250, 0.341)
Dy (0.956, 0.750, 0.841)
Th (0.177, 0.068, 0.669)
Th (0.177, 0.432, 0.669)
Th (0.323, 0.568, 0.169)
Th (0.323, 0.932, 0.169)
Th (0.677, 0.068, 0.831)
Th (0.677, 0.432, 0.831)
Th (0.823, 0.568, 0.331)
Th (0.823, 0.932, 0.331)
Co (0.105, 0.750, 0.382)
Co (0.395, 0.250, 0.882)
Co (0.605, 0.750, 0.118)
Co (0.895, 0.250, 0.618)

Properties
- total DFT energy (no corrections) (eV/atom) = -6.8145

Record 6
Below is a relaxed DyTh3Co crystal, with properties calculated at the PBE-GGA level.

Unit cell a=5.341 b=5.341 c=5.341 alpha=90.00 beta=90.00 gamma=90.00
Atoms (fractional coordinates):
Dy (0.000, 0.000, 0.000)
Th (0.000, 0.500, 0.500)
Th (0.500, 0.000, 0.500)
Th (0.500, 0.500, 0.000)
Co (0.500, 0.500, 0.500)

Properties
- total DFT energy (no corrections) (eV/atom) = -6.7662

Record 7
Below is a relaxed DyTh4Co4 crystal, with properties calculated at the PBE-GGA level.

Unit cell a=8.628 b=8.628 c=5.572 alpha=90.00 beta=90.00 gamma=90.00
Atoms (fractional coordinates):
Dy (0.250, 0.250, 0.250)
Dy (0.750, 0.750, 0.750)
Th (0.057, 0.661, 0.187)
Th (0.161, 0.943, 0.687)
Th (0.339, 0.557, 0.687)
Th (0.443, 0.839, 0.187)
Th (0.557, 0.161, 0.813)
Th (0.661, 0.443, 0.313)
Th (0.839, 0.057, 0.313)
Th (0.943, 0.339, 0.813)
Co (0.041, 0.623, 0.677)
Co (0.123, 0.959, 0.177)
Co (0.377, 0.541, 0.177)
Co (0.459, 0.877, 0.677)
Co (0.541, 0.123, 0.323)
Co (0.623, 0.459, 0.823)
Co (0.877, 0.041, 0.823)
Co (0.959, 0.377, 0.323)

Properties
- total DFT energy (no corrections) (eV/atom) = -7.2051

Record 8
Below is a relaxed DyThCo crystal, with properties calculated at the PBE-GGA level.

Unit cell a=6.776 b=7.205 c=7.008 alpha=90.00 beta=115.10 gamma=90.00
Atoms (fractional coordinates):
Dy (0.211, 0.169, 0.055)
Dy (0.211, 0.331, 0.555)
Dy (0.789, 0.669, 0.445)
Dy (0.789, 0.831, 0.945)
Th (0.274, 0.667, 0.973)
Th (0.274, 0.833, 0.473)
Th (0.726, 0.167, 0.527)
Th (0.726, 0.333, 0.027)
Co (0.051, 0.565, 0.205)
Co (0.051, 0.935, 0.705)
Co (0.949, 0.065, 0.295)
Co (0.949, 0.435, 0.795)

Properties
- total DFT energy (no corrections) (eV/atom) = -6.4712

Record 9
Below is a relaxed DyThCo crystal, with properties calculated at the PBE-GGA level.

Unit cell a=6.373 b=6.373 c=6.373 alpha=148.33 beta=148.33 gamma=45.40
Atoms (fractional coordinates):
Dy (0.000, 0.000, 0.000)
Th (0.277, 0.277, 0.000)
Co (0.659, 0.659, 0.000)

Properties
- total DFT energy (no corrections) (eV/atom) = -6.4377

Record 10
Below is a relaxed DyThCo2 crystal, with properties calculated at the PBE-GGA level.

Unit cell a=3.774 b=3.939 c=5.681 alpha=90.00 beta=109.32 gamma=90.00
Atoms (fractional coordinates):
Dy (0.000, 0.000, 0.000)
Th (0.276, 0.500, 0.552)
Co (0.565, 0.500, 0.129)
Co (0.721, 0.000, 0.442)

Properties
- total DFT energy (no corrections) (eV/atom) = -6.8225

Record 11
Below is a relaxed DyTh2Co crystal, with properties calculated at the PBE-GGA level.

Unit cell a=10.274 b=10.274 c=10.274 alpha=20.91 beta=20.91 gamma=20.91
Atoms (fractional coordinates):
Dy (0.000, 0.000, 0.000)
Th (0.113, 0.113, 0.113)
Th (0.887, 0.887, 0.887)
Co (0.500, 0.500, 0.500)

Properties
- total DFT energy (no corrections) (eV/atom) = -6.5059

Record 12
Below is a relaxed DyThCo2 crystal, with properties calculated at the PBE-GGA level.

Unit cell a=6.858 b=6.858 c=6.858 alpha=32.60 beta=32.60 gamma=32.60
Atoms (fractional coordinates):
Dy (0.000, 0.000, 0.000)
Th (0.500, 0.500, 0.500)
Co (0.248, 0.248, 0.248)
Co (0.752, 0.752, 0.752)

Properties
- total DFT energy (no corrections) (eV/atom) = -6.6213

Record 13
Below is a relaxed Dy2ThCo crystal, with properties calculated at the PBE-GGA level.

Unit cell a=10.524 b=10.524 c=10.524 alpha=19.27 beta=19.27 gamma=19.27
Atoms (fractional coordinates):
Dy (0.112, 0.112, 0.112)
Dy (0.888, 0.888, 0.888)
Th (0.000, 0.000, 0.000)
Co (0.500, 0.500, 0.500)

Properties
- total DFT energy (no corrections) (eV/atom) = -5.7411

Record 14
Below is a relaxed DyThCo crystal, with properties calculated at the PBE-GGA level.

Unit cell a=5.812 b=4.134 c=6.787 alpha=90.00 beta=110.05 gamma=90.00
Atoms (fractional coordinates):
Dy (0.048, 0.250, 0.303)
Dy (0.952, 0.750, 0.697)
Th (0.490, 0.750, 0.202)
Th (0.510, 0.250, 0.798)
Co (0.361, 0.750, 0.546)
Co (0.639, 0.250, 0.454)

Properties
- total DFT energy (no corrections) (eV/atom) = -6.5557

Record 15
Below is a relaxed Dy2ThCo crystal, with properties calculated at the PBE-GGA level.

Unit cell a=6.928 b=9.633 c=6.295 alpha=90.00 beta=90.00 gamma=90.00
Atoms (fractional coordinates):
Dy (0.170, 0.070, 0.175)
Dy (0.170, 0.430, 0.175)
Dy (0.330, 0.570, 0.675)
Dy (0.330, 0.930, 0.675)
Dy (0.670, 0.070, 0.325)
Dy (0.670, 0.430, 0.325)
Dy (0.830, 0.570, 0.825)
Dy (0.830, 0.930, 0.825)
Th (0.053, 0.250, 0.662)
Th (0.447, 0.750, 0.162)
Th (0.553, 0.250, 0.838)
Th (0.947, 0.750, 0.338)
Co (0.130, 0.750, 0.969)
Co (0.370, 0.250, 0.469)
Co (0.630, 0.750, 0.531)
Co (0.870, 0.250, 0.031)

Properties
- total DFT energy (no corrections) (eV/atom) = -6.1317

Record 16
Below is a relaxed Dy3ThCo crystal, with properties calculated at the PBE-GGA level.

Unit cell a=7.050 b=7.050 c=6.134 alpha=102.54 beta=102.54 gamma=72.31
Atoms (fractional coordinates):
Dy (0.061, 0.648, 0.262)
Dy (0.134, 0.134, 0.235)
Dy (0.352, 0.939, 0.738)
Dy (0.648, 0.061, 0.262)
Dy (0.866, 0.866, 0.765)
Dy (0.939, 0.352, 0.738)
Th (0.417, 0.417, 0.712)
Th (0.583, 0.583, 0.288)
Co (0.325, 0.325, 0.052)
Co (0.675, 0.675, 0.948)

Properties
- total DFT energy (no corrections) (eV/atom) = -5.7348

Record 17
Below is a relaxed DyTh2Co crystal, with properties calculated at the PBE-GGA level.

Unit cell a=3.541 b=3.541 c=8.446 alpha=90.00 beta=90.00 gamma=90.00
Atoms (fractional coordinates):
Dy (0.000, 0.000, 0.000)
Th (0.500, 0.500, 0.309)
Th (0.500, 0.500, 0.691)
Co (0.000, 0.000, 0.500)

Properties
- total DFT energy (no corrections) (eV/atom) = -6.6353

Record 18
Below is a relaxed DyThCo2 crystal, with properties calculated at the PBE-GGA level.

Unit cell a=3.419 b=3.419 c=6.772 alpha=90.00 beta=90.00 gamma=90.00
Atoms (fractional coordinates):
Dy (0.000, 0.000, 0.000)
Th (0.000, 0.000, 0.500)
Co (0.500, 0.500, 0.269)
Co (0.500, 0.500, 0.731)

Properties
- total DFT energy (no corrections) (eV/atom) = -6.7092

Record 19
Below is a relaxed Dy2ThCo9 crystal, with properties calculated at the PBE-GGA level.

Unit cell a=8.688 b=8.688 c=8.688 alpha=33.31 beta=33.31 gamma=33.31
Atoms (fractional coordinates):
Dy (0.140, 0.140, 0.140)
Dy (0.860, 0.860, 0.860)
Th (0.000, 0.000, 0.000)
Co (0.080, 0.583, 0.583)
Co (0.335, 0.335, 0.335)
Co (0.417, 0.417, 0.920)
Co (0.417, 0.920, 0.417)
Co (0.500, 0.500, 0.500)
Co (0.583, 0.080, 0.583)
Co (0.583, 0.583, 0.080)
Co (0.665, 0.665, 0.665)
Co (0.920, 0.417, 0.417)

Properties
- total DFT energy (no corrections) (eV/atom) = -6.9022

Record 20
Below is a relaxed Dy2Th3Co2 crystal, with properties calculated at the PBE-GGA level.

Unit cell a=6.111 b=6.111 c=8.816 alpha=109.39 beta=109.39 gamma=35.21
Atoms (fractional coordinates):
Dy (0.169, 0.169, 0.301)
Dy (0.831, 0.831, 0.699)
Th (0.381, 0.381, 0.072)
Th (0.500, 0.500, 0.500)
Th (0.619, 0.619, 0.928)
Co (0.133, 0.133, 0.708)
Co (0.867, 0.867, 0.292)

Properties
- total DFT energy (no corrections) (eV/atom) = -6.7347